Entry 1:
A relaxed Hf2Ag2Hg crystal, computed with PBE.

- energy of formation (eV per atom) = 0.4055
- electronic total energy (eV/atom) = -4.766
- excess energy over the best structure of this formula in the dataset (meV/atom) = 0.0
- symmetry = I4/mmm, No. 139

Cell lengths 6.891, 6.891, 6.891 Å; angles 144.13, 144.13, 51.63 degrees
Atoms (fractional coordinates):
Ag (0.397, 0.397, 0.000)
Ag (0.603, 0.603, 0.000)
Hf (0.750, 0.250, 0.500)
Hf (0.250, 0.750, 0.500)
Hg (0.000, 0.000, 0.000)

Entry 2:
A relaxed HoHfAg6 crystal, computed with PBE.

- energy of formation (eV per atom) = -0.1358
- electronic total energy (eV/atom) = -4.071
- symmetry = Pmm2, No. 25

Cell lengths 4.920, 6.100, 5.066 Å; angles 90.00, 90.00, 90.00 degrees
Atoms (fractional coordinates):
Ag (0.000, 0.500, 0.181)
Ag (0.500, 0.237, 0.335)
Ag (0.500, 0.763, 0.335)
Ag (0.000, 0.243, 0.659)
Ag (0.000, 0.757, 0.659)
Ag (0.500, 0.000, 0.835)
Hf (0.000, 0.000, 0.153)
Ho (0.500, 0.500, 0.842)

Entry 3:
A relaxed HoHfAg crystal, computed with PBE.

- energy of formation (eV per atom) = 0.8292
- electronic total energy (eV/atom) = -4.956
- excess energy over the best structure of this formula in the dataset (meV/atom) = 0.0
- symmetry = F-43m, No. 216

Cell lengths 4.765, 4.765, 4.765 Å; angles 60.00, 60.00, 60.00 degrees
Atoms (fractional coordinates):
Ag (0.250, 0.250, 0.250)
Hf (0.000, 0.000, 0.000)
Ho (0.750, 0.750, 0.750)

Entry 4:
A relaxed HfInAg2 crystal, computed with PBE.

- electronic total energy (eV/atom) = -4.554
- symmetry = F-43m, No. 216

Cell lengths 4.783, 4.783, 4.783 Å; angles 60.00, 60.00, 60.00 degrees
Atoms (fractional coordinates):
Ag (0.000, 0.000, 0.000)
Ag (0.750, 0.750, 0.750)
Hf (0.250, 0.250, 0.250)
In (0.500, 0.500, 0.500)

Entry 5:
A relaxed HfInAgO3 crystal, computed with PBE.

- electronic total energy (eV/atom) = -7.076
- symmetry = Pnma, No. 62

Cell lengths 3.228, 10.278, 10.531 Å; angles 90.00, 90.00, 90.00 degrees
Atoms (fractional coordinates):
Ag (0.750, 0.591, 0.071)
Ag (0.750, 0.091, 0.429)
Ag (0.250, 0.909, 0.571)
Ag (0.250, 0.409, 0.929)
Hf (0.250, 0.971, 0.135)
Hf (0.250, 0.471, 0.365)
Hf (0.750, 0.529, 0.635)
Hf (0.750, 0.029, 0.865)
In (0.750, 0.286, 0.113)
In (0.750, 0.786, 0.387)
In (0.250, 0.214, 0.613)
In (0.250, 0.714, 0.887)
O (0.750, 0.897, 0.025)
O (0.750, 0.079, 0.205)
O (0.250, 0.322, 0.247)
O (0.250, 0.822, 0.253)
O (0.750, 0.579, 0.295)
O (0.750, 0.397, 0.475)
O (0.250, 0.603, 0.525)
O (0.250, 0.421, 0.705)
O (0.750, 0.178, 0.747)
O (0.750, 0.678, 0.753)
O (0.250, 0.921, 0.795)
O (0.250, 0.103, 0.975)

Entry 6:
A relaxed HfInAg3O4 crystal, computed with PBE.

- electronic total energy (eV/atom) = -5.525
- symmetry = P-43m, No. 215

Cell lengths 5.629, 5.629, 5.629 Å; angles 90.00, 90.00, 90.00 degrees
Atoms (fractional coordinates):
Ag (0.500, 0.500, 0.000)
Ag (0.500, 0.000, 0.500)
Ag (0.000, 0.500, 0.500)
Hf (0.500, 0.500, 0.500)
In (0.000, 0.000, 0.000)
O (0.294, 0.294, 0.294)
O (0.706, 0.706, 0.294)
O (0.706, 0.294, 0.706)
O (0.294, 0.706, 0.706)

Entry 7:
A relaxed HfInAgPd crystal, computed with PBE.

- electronic total energy (eV/atom) = -5.552
- excess energy over the best structure of this formula in the dataset (meV/atom) = 0.0
- symmetry = F-43m, No. 216

Cell lengths 4.710, 4.710, 4.710 Å; angles 60.00, 60.00, 60.00 degrees
Atoms (fractional coordinates):
Ag (0.500, 0.500, 0.500)
Hf (0.750, 0.750, 0.750)
In (0.250, 0.250, 0.250)
Pd (0.000, 0.000, 0.000)

Entry 8:
A relaxed HfInAgPd crystal, computed with PBE.

- electronic total energy (eV/atom) = -5.360
- excess energy over the best structure of this formula in the dataset (meV/atom) = 192.0
- symmetry = F-43m, No. 216

Cell lengths 4.713, 4.713, 4.713 Å; angles 60.00, 60.00, 60.00 degrees
Atoms (fractional coordinates):
Ag (0.500, 0.500, 0.500)
Hf (0.750, 0.750, 0.750)
In (0.000, 0.000, 0.000)
Pd (0.250, 0.250, 0.250)

Entry 9:
A relaxed HfInAgPd crystal, computed with PBE.

- electronic total energy (eV/atom) = -5.403
- excess energy over the best structure of this formula in the dataset (meV/atom) = 149.6
- symmetry = F-43m, No. 216

Cell lengths 4.732, 4.732, 4.732 Å; angles 60.00, 60.00, 60.00 degrees
Atoms (fractional coordinates):
Ag (0.250, 0.250, 0.250)
Hf (0.750, 0.750, 0.750)
In (0.500, 0.500, 0.500)
Pd (0.000, 0.000, 0.000)

Entry 10:
A relaxed HfInAgSeS2 crystal, computed with PBE.

- electronic total energy (eV/atom) = -5.382
- symmetry = Cmcm, No. 63

Cell lengths 7.818, 7.818, 10.482 Å; angles 90.00, 90.00, 152.68 degrees
Atoms (fractional coordinates):
Ag (0.676, 0.324, 0.250)
Ag (0.324, 0.676, 0.750)
Hf (0.000, 0.000, 0.000)
Hf (0.000, 0.000, 0.500)
In (0.323, 0.677, 0.250)
In (0.677, 0.323, 0.750)
S (0.614, 0.386, 0.028)
S (0.614, 0.386, 0.472)
S (0.386, 0.614, 0.528)
S (0.386, 0.614, 0.972)
Se (0.961, 0.039, 0.250)
Se (0.039, 0.961, 0.750)

Entry 11:
A relaxed HfInAgTeS2 crystal, computed with PBE.

- electronic total energy (eV/atom) = -5.159
- symmetry = Cmcm, No. 63

Cell lengths 7.699, 7.699, 10.926 Å; angles 90.00, 90.00, 151.58 degrees
Atoms (fractional coordinates):
Ag (0.441, 0.559, 0.250)
Ag (0.559, 0.441, 0.750)
Hf (0.000, 0.000, 0.000)
Hf (0.000, 0.000, 0.500)
In (0.765, 0.235, 0.250)
In (0.235, 0.765, 0.750)
S (0.385, 0.615, 0.035)
S (0.385, 0.615, 0.465)
S (0.615, 0.385, 0.535)
S (0.615, 0.385, 0.965)
Te (0.084, 0.916, 0.250)
Te (0.916, 0.084, 0.750)

Entry 12:
A relaxed HfInAgTe2S crystal, computed with PBE.

- electronic total energy (eV/atom) = -4.865
- symmetry = Cmcm, No. 63

Cell lengths 7.826, 7.826, 10.259 Å; angles 90.00, 90.00, 149.61 degrees
Atoms (fractional coordinates):
Ag (0.467, 0.533, 0.250)
Ag (0.533, 0.467, 0.750)
Hf (0.000, 0.000, 0.000)
Hf (0.000, 0.000, 0.500)
In (0.738, 0.262, 0.250)
In (0.262, 0.738, 0.750)
S (0.062, 0.938, 0.250)
S (0.938, 0.062, 0.750)
Te (0.362, 0.638, 0.033)
Te (0.362, 0.638, 0.467)
Te (0.638, 0.362, 0.533)
Te (0.638, 0.362, 0.967)